# 1
Here is crystalline Y7Al2Cu2 at its relaxed geometry from Alexandria. Energies are from PBE.

## Properties
DOS at the Fermi energy in states/eV per atom: 1.00
Space group: Cmmm
Crystal system: orthorhombic
Size of the total moment in μB/atom: 0.000

Geometry as POSCAR:
```
Y7Al2Cu2
1.0
3.913 -5.545 0.000
3.913 5.545 0.000
0.000 0.000 6.961
Y Al Cu
7 2 2
Direct
0.000 0.000 0.000
0.000 0.500 0.262
0.000 0.500 0.738
0.500 0.000 0.262
0.500 0.000 0.738
0.500 0.500 0.252
0.500 0.500 0.748
0.167 0.167 0.500
0.833 0.833 0.500
0.296 0.704 0.000
0.704 0.296 0.000
```

# 2
Here is crystalline YAl4Cu8 at its relaxed geometry from Alexandria. Energies are from PBE.

## Properties
DOS at the Fermi energy in states/eV per atom: 0.40
Space group: I4/mmm
Crystal system: tetragonal
Size of the total moment in μB/atom: 0.000

Geometry as POSCAR:
```
YAl4Cu8
1.0
-4.279 4.279 2.539
4.279 -4.279 2.539
4.279 4.279 -2.539
Y Al Cu
1 4 8
Direct
0.000 0.000 0.000
0.000 0.000 0.500
0.000 0.500 0.000
0.500 0.000 0.000
0.500 0.500 0.500
0.000 0.352 0.352
0.000 0.648 0.648
0.281 0.500 0.781
0.352 0.000 0.352
0.500 0.281 0.781
0.500 0.719 0.219
0.648 0.000 0.648
0.719 0.500 0.219
```

# 3
Here is crystalline Y2Al5Cu3 at its relaxed geometry from Alexandria. Energies are from PBE.

## Properties
DOS at the Fermi energy in states/eV per atom: 0.57
Space group: P-4m2
Crystal system: tetragonal
Distance to the lowest polymorph of the same formula in meV per atom: 119.7
Size of the total moment in μB/atom: 0.000

Geometry as POSCAR:
```
Y2Al5Cu3
1.0
4.195 0.000 0.000
0.000 4.195 0.000
0.000 0.000 10.343
Y Al Cu
2 5 3
Direct
0.000 0.500 0.237
0.500 0.000 0.763
0.000 0.000 0.500
0.000 0.500 0.658
0.500 0.000 0.342
0.500 0.500 0.000
0.500 0.500 0.500
0.000 0.000 0.000
0.000 0.500 0.882
0.500 0.000 0.118
```

| no. | E_form (meV/atom) |
| --- | --- |
| 1 | -40.8 |
| 2 | -244.0 |
| 3 | -324.6 |